Entry from the Alexandria database: crystalline Rb3Cr2Cl7 at its relaxed geometry (GGA-PBE).

The structure in POSCAR format:
```
Rb3Cr2Cl7
1.0
-2.994 3.731 -1.576
1.918 -0.420 -4.638
-8.718 -10.368 0.068
Cl Rb Cr
7 3 2
direct
0.406 0.906 0.811 Cl
0.094 0.594 0.189 Cl
0.594 0.094 0.189 Cl
0.906 0.406 0.811 Cl
0.810 0.810 0.619 Cl
0.000 0.000 0.000 Cl
0.190 0.190 0.381 Cl
0.500 0.500 0.000 Rb
0.318 0.318 0.636 Rb
0.682 0.682 0.364 Rb
0.096 0.096 0.192 Cr
0.904 0.904 0.808 Cr
```

## Properties
The value obtained for the density of states at the Fermi level is 1.79 states/eV/cell. The density comes out at 3.0 g/cm³. For the excess energy over the best structure of this formula in the dataset, the calculation gives 0.00 eV per formula unit. The calculation puts the size of the total moment at 8.0 Bohr magnetons per cell. Its formation energy from raw total energies is -1487 meV per atom.

Entry from the Alexandria database: crystalline Rb2CrCl5 at its relaxed geometry (GGA-PBE).

The structure in POSCAR format:
```
Rb2CrCl5
1.0
7.024 0.232 0.330
-3.256 6.228 -0.330
-3.256 -2.429 5.744
Cl Cr Rb
5 1 2
direct
0.000 0.770 0.206 Cl
0.000 0.263 0.263 Cl
0.564 0.770 0.770 Cl
0.436 0.206 0.206 Cl
0.000 0.206 0.770 Cl
0.000 0.024 0.024 Cr
0.500 0.242 0.742 Rb
0.500 0.742 0.242 Rb
```

## Properties
The density comes out at 2.6 g/cm³. For the excess energy over the best structure of this formula in the dataset, the calculation gives 0.13 eV per formula unit. The calculation puts the size of the total moment at 3.0 Bohr magnetons per cell. Its formation energy from raw total energies is -1535 meV per atom.

Entry from the Alexandria database: crystalline RbCr2Cl7 at its relaxed geometry (GGA-PBE).

The structure in POSCAR format:
```
RbCr2Cl7
1.0
4.748 0.000 0.000
0.000 9.471 -1.833
0.000 -5.909 7.626
Cr Cl Rb
2 7 1
direct
0.500 0.252 0.748 Cr
0.500 0.748 0.252 Cr
0.000 0.735 0.265 Cl
0.500 0.920 0.602 Cl
0.500 0.500 0.500 Cl
0.000 0.265 0.735 Cl
0.500 0.080 0.398 Cl
0.500 0.398 0.080 Cl
0.500 0.602 0.920 Cl
0.000 0.000 0.000 Rb
```

## Properties
The value obtained for the density of states at the Fermi level is 5.96 states/eV/cell. The density comes out at 2.5 g/cm³. The calculation puts the size of the total moment at 6.0 Bohr magnetons per cell. Its formation energy from raw total energies is -1079 meV per atom.

Entry from the Alexandria database: crystalline Rb2CrCl4 at its relaxed geometry (GGA-PBE).

The structure in POSCAR format:
```
Rb2CrCl4
1.0
5.061 0.000 0.000
0.000 5.061 0.000
2.530 2.530 8.074
Rb Cl Cr
2 4 1
direct
0.641 0.641 0.718 Rb
0.359 0.359 0.282 Rb
0.848 0.848 0.305 Cl
0.152 0.152 0.695 Cl
0.000 0.500 0.000 Cl
0.500 0.000 0.000 Cl
0.000 0.000 0.000 Cr
```

## Properties
The value obtained for the density of states at the Fermi level is 0.23 states/eV/cell. The density comes out at 2.9 g/cm³. For the excess energy over the best structure of this formula in the dataset, the calculation gives 0.00 eV per formula unit. The calculation puts the size of the total moment at 4.0 Bohr magnetons per cell. Its formation energy from raw total energies is -1562 meV per atom.

Entry from the Alexandria database: crystalline RbCrCl5 at its relaxed geometry (GGA-PBE).

The structure in POSCAR format:
```
RbCrCl5
1.0
8.167 0.266 2.116
-0.043 8.171 2.116
2.380 2.472 7.856
Cl Cr Rb
10 2 2
direct
0.828 0.672 0.250 Cl
0.998 0.000 0.731 Cl
0.740 0.112 0.075 Cl
0.260 0.888 0.925 Cl
0.500 0.502 0.769 Cl
0.002 0.000 0.269 Cl
0.612 0.240 0.575 Cl
0.388 0.760 0.425 Cl
0.500 0.498 0.231 Cl
0.172 0.328 0.750 Cl
0.000 0.000 0.000 Cr
0.500 0.500 0.500 Cr
0.130 0.370 0.250 Rb
0.870 0.630 0.750 Rb
```

## Properties
The value obtained for the density of states at the Fermi level is 10.42 states/eV/cell. The density comes out at 2.4 g/cm³. The calculation puts the size of the total moment at 4.0 Bohr magnetons per cell. Its formation energy from raw total energies is -1148 meV per atom.

Entry from the Alexandria database: crystalline RbCr2Cl at its relaxed geometry (GGA-PBE).

The structure in POSCAR format:
```
RbCr2Cl
1.0
-4.002 2.847 -2.824
2.748 -0.958 -4.861
-5.310 -6.758 -4.972
Cr Cl Rb
4 2 2
direct
0.375 0.625 0.250 Cr
0.375 0.125 0.250 Cr
0.875 0.625 0.750 Cr
0.375 0.625 0.750 Cr
0.500 0.500 0.000 Cl
0.250 0.750 0.500 Cl
0.000 0.000 0.000 Rb
0.750 0.250 0.500 Rb
```

## Properties
The value obtained for the density of states at the Fermi level is 5.02 states/eV/cell. The density comes out at 2.6 g/cm³. For the excess energy over the best structure of this formula in the dataset, the calculation gives 0.00 eV per formula unit. The calculation puts the size of the total moment at 19.7 Bohr magnetons per cell. Its formation energy from raw total energies is 662 meV per atom.

Entry from the Alexandria database: crystalline Rb2Cr3Cl8 at its relaxed geometry (GGA-PBE).

The structure in POSCAR format:
```
Rb2Cr3Cl8
1.0
6.611 0.000 -2.618
-0.625 8.128 -1.579
-0.799 -0.353 7.636
Cl Cr Rb
8 3 2
direct
0.886 0.028 0.772 Cl
0.309 0.368 0.153 Cl
0.156 0.632 0.847 Cl
0.383 0.004 0.766 Cl
0.114 0.972 0.228 Cl
0.844 0.368 0.153 Cl
0.691 0.632 0.847 Cl
0.617 0.996 0.234 Cl
0.249 0.000 0.000 Cr
0.751 0.000 0.000 Cr
0.000 0.500 0.000 Cr
0.708 0.662 0.416 Rb
0.292 0.338 0.584 Rb
```

## Properties
The value obtained for the density of states at the Fermi level is 0.35 states/eV/cell. The density comes out at 2.6 g/cm³. The calculation puts the size of the total moment at 12.0 Bohr magnetons per cell. Its formation energy from raw total energies is -1251 meV per atom.

Entry from the Alexandria database: crystalline RbCrCl6 at its relaxed geometry (GGA-PBE).

The structure in POSCAR format:
```
RbCrCl6
1.0
-5.030 -2.669 -2.235
1.424 -4.080 4.330
-4.076 1.678 4.368
Rb Cl Cr
1 6 1
direct
0.500 0.500 0.500 Rb
0.267 0.923 0.738 Cl
0.264 0.264 0.077 Cl
0.077 0.733 0.262 Cl
0.733 0.077 0.262 Cl
0.923 0.267 0.738 Cl
0.736 0.736 0.923 Cl
0.000 0.000 0.000 Cr
```

## Properties
The value obtained for the density of states at the Fermi level is 7.29 states/eV/cell. The density comes out at 2.6 g/cm³. For the excess energy over the best structure of this formula in the dataset, the calculation gives 0.06 eV per formula unit. The calculation puts the size of the total moment at 1.0 Bohr magnetons per cell. Its formation energy from raw total energies is -978 meV per atom.

Entry from the Alexandria database: crystalline Rb2CrCl4 at its relaxed geometry (GGA-PBE).

The structure in POSCAR format:
```
Rb2CrCl4
1.0
6.621 -4.169 -2.553
5.771 -3.806 4.465
-8.102 1.006 -1.033
Rb Cr Cl
2 1 4
direct
0.265 0.265 0.000 Rb
0.735 0.735 0.000 Rb
0.000 0.000 0.000 Cr
0.105 0.605 0.500 Cl
0.895 0.395 0.500 Cl
0.395 0.895 0.500 Cl
0.605 0.105 0.500 Cl
```

## Properties
The value obtained for the density of states at the Fermi level is 6.19 states/eV/cell. The density comes out at 3.3 g/cm³. For the excess energy over the best structure of this formula in the dataset, the calculation gives 3.27 eV per formula unit. The calculation puts the size of the total moment at 4.0 Bohr magnetons per cell. Its formation energy from raw total energies is -1094 meV per atom.

Entry from the Alexandria database: crystalline RbCrCl2 at its relaxed geometry (GGA-PBE).

The structure in POSCAR format:
```
RbCrCl2
1.0
-3.334 -3.523 -4.290
-3.436 -2.621 4.823
-7.840 1.791 -0.265
Rb Cr Cl
2 2 4
direct
0.750 0.250 0.500 Rb
0.000 0.000 0.000 Rb
0.250 0.750 0.500 Cr
0.500 0.500 0.000 Cr
0.875 0.780 0.750 Cl
0.220 0.625 0.250 Cl
0.530 0.125 0.250 Cl
0.375 0.470 0.750 Cl
```

## Properties
The value obtained for the density of states at the Fermi level is 2.75 states/eV/cell. The density comes out at 2.5 g/cm³. For the excess energy over the best structure of this formula in the dataset, the calculation gives 0.14 eV per formula unit. The calculation puts the size of the total moment at 10.0 Bohr magnetons per cell. Its formation energy from raw total energies is -947 meV per atom.